1.
Material: Nd2H3N
Method: DFT, PBE
State: optimized geometry

Results
V (Å³/cell): 172.94
Total magnetization (μB/cell): 0.00
Uncorrected energy (eV/atom): -5.373

Lattice parameters (Å, degrees): 5.5714 5.5714 5.5714 90.00 90.00 90.00
Element x y z (fractional)
Nd 0.0000 0.0000 0.0000
Nd 0.0000 0.5000 0.5000
Nd 0.5000 0.0000 0.5000
Nd 0.5000 0.5000 0.0000
H 0.2500 0.2500 0.7500
H 0.2500 0.7500 0.2500
H 0.2500 0.7500 0.7500
H 0.7500 0.2500 0.2500
H 0.7500 0.2500 0.7500
H 0.7500 0.7500 0.2500
N 0.2500 0.2500 0.2500
N 0.7500 0.7500 0.7500

2.
Material: Nd3HN2
Method: DFT, PBE
State: optimized geometry

Results
V (Å³/cell): 250.45
Total magnetization (μB/cell): 0.00
Energy above the most stable polymorph in this dataset (meV/atom): 223

Lattice parameters (Å, degrees): 6.4790 6.4790 11.3031 90.00 90.00 148.14
Element x y z (fractional)
Nd 0.1060 0.8940 0.7500
Nd 0.3887 0.6113 0.5830
Nd 0.3887 0.6113 0.9170
Nd 0.6113 0.3887 0.0830
Nd 0.6113 0.3887 0.4170
Nd 0.8940 0.1060 0.2500
H 0.2245 0.7755 0.2500
H 0.7755 0.2245 0.7500
N 0.0000 0.0000 0.0000
N 0.0000 0.0000 0.5000
N 0.4923 0.5077 0.7500
N 0.5077 0.4923 0.2500

3.
Material: Nd8HN6
Method: DFT, PBE
State: optimized geometry

Results
V (Å³/cell): 303.02
Total magnetization (μB/cell): 2.07
Uncorrected energy (eV/atom): -7.016

Lattice parameters (Å, degrees): 9.7440 9.7440 3.6853 90.00 90.00 120.00
Element x y z (fractional)
Nd 0.0348 0.6722 0.2526
Nd 0.3278 0.3627 0.2526
Nd 0.3333 0.6667 0.7505
Nd 0.3627 0.0348 0.7474
Nd 0.6373 0.9652 0.2526
Nd 0.6667 0.3333 0.2495
Nd 0.6722 0.6373 0.7474
Nd 0.9652 0.3278 0.7474
H 0.0000 0.0000 0.5000
N 0.1347 0.4796 0.2484
N 0.3449 0.8653 0.2484
N 0.4796 0.3449 0.7516
N 0.5204 0.6551 0.2484
N 0.6551 0.1347 0.7516
N 0.8653 0.5204 0.7516

4.
Material: Nd4H2N
Method: DFT, PBE
State: optimized geometry

Results
V (Å³/cell): 145.74
Total magnetization (μB/cell): 0.00
Uncorrected energy (eV/atom): -5.334

Lattice parameters (Å, degrees): 6.8418 6.8418 6.8418 137.27 137.27 62.03
Element x y z (fractional)
Nd 0.0000 0.5000 0.5000
Nd 0.2204 0.2204 0.0000
Nd 0.5000 0.0000 0.5000
Nd 0.7796 0.7796 0.0000
H 0.4182 0.4182 0.0000
H 0.5818 0.5818 0.0000
N 0.0000 0.0000 0.0000

5.
Material: Nd3HN2
Method: DFT, PBE
State: optimized geometry

Results
V (Å³/cell): 103.65
Total magnetization (μB/cell): 0.00
Energy above the most stable polymorph in this dataset (meV/atom): 0

Lattice parameters (Å, degrees): 6.3721 6.3721 6.3721 146.89 132.29 59.31
Element x y z (fractional)
Nd 0.0000 0.0000 0.0000
Nd 0.3187 0.3187 0.0000
Nd 0.6813 0.6813 0.0000
H 0.5000 0.0000 0.5000
N 0.1685 0.6685 0.5000
N 0.8315 0.3315 0.5000

6.
Material: NdH4S2NO8
Method: DFT, PBE
State: optimized geometry

Results
V (Å³/cell): 715.28
Total magnetization (μB/cell): 0.00
Uncorrected energy (eV/atom): -6.204

Lattice parameters (Å, degrees): 9.0451 7.2575 10.9041 90.00 92.18 90.00
Element x y z (fractional)
Nd 0.0524 0.1699 0.3485
Nd 0.0524 0.3301 0.8485
Nd 0.9476 0.6699 0.1515
Nd 0.9476 0.8301 0.6515
H 0.3573 0.5701 0.6383
H 0.3573 0.9299 0.1383
H 0.4059 0.7055 0.1520
H 0.4059 0.7945 0.6520
H 0.4744 0.1443 0.9046
H 0.4744 0.3557 0.4046
H 0.4891 0.6322 0.7446
H 0.4891 0.8678 0.2446
H 0.5109 0.1322 0.7554
H 0.5109 0.3678 0.2554
H 0.5256 0.6443 0.5954
H 0.5256 0.8557 0.0954
H 0.5941 0.2055 0.3480
H 0.5941 0.2945 0.8480
H 0.6427 0.0701 0.8617
H 0.6427 0.4299 0.3617
S 0.1732 0.6684 0.3894
S 0.1732 0.8316 0.8894
S 0.2638 0.1638 0.5879
S 0.2638 0.3362 0.0879
S 0.7362 0.6638 0.9121
S 0.7362 0.8362 0.4121
S 0.8268 0.1684 0.1106
S 0.8268 0.3316 0.6106
N 0.4431 0.6595 0.6576
N 0.4431 0.8405 0.1577
N 0.5569 0.1595 0.8424
N 0.5569 0.3405 0.3424
O 0.0968 0.5106 0.3198
O 0.0968 0.9894 0.8198
O 0.1128 0.6762 0.5137
O 0.1128 0.8238 0.0137
O 0.1238 0.6662 0.8117
O 0.1238 0.8338 0.3117
O 0.1267 0.0492 0.5594
O 0.1267 0.4508 0.0594
O 0.2310 0.1943 0.1824
O 0.2310 0.3057 0.6824
O 0.2896 0.2443 0.9679
O 0.2896 0.2557 0.4679
O 0.3327 0.6509 0.3937
O 0.3327 0.8491 0.8937
O 0.3880 0.0475 0.6295
O 0.3880 0.4525 0.1295
O 0.6120 0.5475 0.8705
O 0.6120 0.9525 0.3705
O 0.6673 0.1509 0.1063
O 0.6673 0.3491 0.6063
O 0.7104 0.7443 0.5321
O 0.7104 0.7557 0.0321
O 0.7690 0.6943 0.3176
O 0.7690 0.8057 0.8176
O 0.8733 0.5492 0.9406
O 0.8733 0.9508 0.4406
O 0.8762 0.1662 0.6883
O 0.8762 0.3338 0.1883
O 0.8872 0.1762 0.9863
O 0.8872 0.3238 0.4863
O 0.9032 0.0106 0.1802
O 0.9032 0.4894 0.6802